# SrTaNi2Sn

SrTaNi2Sn at its PBEsol-relaxed geometry (meta-GGA SCAN, the Alexandria database).

Lattice parameters (Å, degrees): 4.4358 4.4358 5.5517 90.00 90.00 90.00
Fractional coordinates of all 5 atoms:
Sr 0.0000 0.0000 0.0000
Ta 0.5000 0.5000 0.5000
Ni 0.0000 0.5000 0.0000
Ni 0.5000 0.0000 0.0000
Sn 0.0000 0.0000 0.5000

Computed properties:
Total magnetic moment: 0.0 Bohr magnetons per cell
Symmetry: P4/mmm (123)
Energy of formation from the pure elements: 2.116 eV/atom
D(E_F): 0.92 states/eV per atom
Uncorrected energy: -29.309 eV per atom